1.
Computed, not measured: a relaxed Ac2MnSi5 crystal at the PBE level of DFT.

Calculated values
Symmetry   I4mm, No. 107
Magnetization   0.309 μB per atom
Formation energy (no corrections)   -0.33 eV per atom

The structure in extended XYZ format:
```
8
Lattice="-5.111 -3.819 0.573 5.844 -1.539 2.124 0.896 5.291 3.498" Properties=species:S:1:pos:R:3 pbc="T T T"
Ac -0.555 1.601 3.331
Ac 1.920 -1.814 2.644
Mn 0.192 0.107 0.160
Si 2.532 1.000 4.145
Si 4.304 0.382 2.434
Si 2.224 3.252 3.012
Si -1.115 -1.185 1.873
Si 1.991 1.108 1.661
```



2.
Computed, not measured: a relaxed GePdF6 crystal at the PBE level of DFT.

Calculated values
Symmetry   P-31c, No. 163
Magnetization   0.235 μB per atom
Formation energy (no corrections)   -1.90 eV per atom

The structure in extended XYZ format:
```
16
Lattice="-4.456 1.933 1.257 2.049 -3.616 2.811 4.314 6.528 5.255" Properties=species:S:1:pos:R:3 pbc="T T T"
Ge 2.157 3.264 2.627
Ge 0.000 0.000 0.000
Pd 0.959 -0.134 3.606
Pd 0.947 4.980 5.716
F 0.926 2.049 3.251
F 0.981 2.796 6.071
F -1.322 1.932 5.242
F -0.853 1.291 0.993
F 3.228 2.913 4.080
F 2.760 3.554 8.329
F -1.449 3.865 2.945
F -3.331 1.580 2.668
F 3.355 0.981 6.377
F 5.238 3.265 6.654
F -1.227 -0.425 3.432
F 3.134 5.270 5.891
```



3.
Computed, not measured: a relaxed FeCuSi2 crystal at the PBE level of DFT.

Calculated values
Symmetry   P4/mmm, No. 123
Magnetization   0.000 μB per atom
Formation energy (no corrections)   -0.02 eV per atom

The structure in extended XYZ format:
```
4
Lattice="2.639 0.035 0.000 -0.035 2.639 0.000 0.000 0.000 6.904" Properties=species:S:1:pos:R:3 pbc="T T T"
Cu 1.302 1.337 1.726
Fe 1.302 1.337 5.178
Si 0.000 0.000 6.678
Si 0.000 0.000 3.678
```



4.
Computed, not measured: a relaxed Si2Pt2S crystal at the PBE level of DFT.

Calculated values
Symmetry   I4/mmm, No. 139
Offset from the most stable computed form   0.0 meV/atom
Magnetization   0.000 μB per atom
Formation energy (no corrections)   -0.18 eV per atom

The structure in extended XYZ format:
```
5
Lattice="3.953 0.000 0.000 0.000 3.953 0.000 1.976 1.976 5.290" Properties=species:S:1:pos:R:3 pbc="T T T"
S 0.000 0.000 0.000
Si 1.976 1.976 1.170
Si 3.953 3.953 4.120
Pt 3.953 1.976 2.645
Pt 1.976 3.953 2.645
```



5.
Computed, not measured: a relaxed Tl2ZnSiN crystal at the PBE level of DFT.

Calculated values
Symmetry   P4/mmm, No. 123
Magnetization   0.000 μB per atom
Formation energy (no corrections)   0.62 eV per atom

The structure in extended XYZ format:
```
5
Lattice="5.523 0.000 0.000 0.000 3.575 0.000 0.000 0.000 5.523" Properties=species:S:1:pos:R:3 pbc="T T T"
Tl 0.000 0.000 2.762
Tl 2.762 0.000 0.000
Si 2.762 1.788 2.762
Zn 0.000 1.788 0.000
N 0.000 0.000 0.000
```



6.
Computed, not measured: a relaxed CaZnCuPd crystal at the PBE level of DFT.

Calculated values
Symmetry   Cm, No. 8
Formation enthalpy at 0 K   -0.40 eV per atom
Magnetization   0.000 μB per atom

The structure in extended XYZ format:
```
4
Lattice="4.365 0.000 0.000 -2.183 3.775 -0.019 0.000 -2.534 4.863" Properties=species:S:1:pos:R:3 pbc="T T T"
Ca 2.183 -0.365 2.395
Zn 0.000 -1.634 4.839
Cu 2.183 2.159 0.399
Pd 0.000 0.882 4.329
```



7.
Computed, not measured: a relaxed NdSm6Mg2 crystal at the PBE level of DFT.

Calculated values
Symmetry   C2/m, No. 12
Offset from the most stable computed form   50.8 meV/atom
Formation enthalpy at 0 K   0.11 eV per atom
Magnetization   0.054 μB per atom

The structure in extended XYZ format:
```
9
Lattice="-0.300 -2.505 -2.389 8.292 -2.267 -1.190 0.815 -8.204 5.974" Properties=species:S:1:pos:R:3 pbc="T T T"
Nd 0.000 0.000 0.000
Sm 2.745 -3.626 -1.595
Sm 6.062 -9.349 3.990
Sm 6.090 -7.050 1.575
Sm 5.559 -3.643 0.596
Sm 3.248 -9.333 1.799
Sm 2.717 -5.926 0.820
Mg 0.281 -3.374 0.976
Mg 8.526 -9.602 1.419
```



8.
Computed, not measured: a relaxed BeSb2W crystal at the PBE level of DFT.

Calculated values
Symmetry   Imm2, No. 44
Magnetization   0.000 μB per atom
Formation energy (no corrections)   0.40 eV per atom

The structure in extended XYZ format:
```
4
Lattice="-5.755 1.139 -3.875 -2.602 -1.967 -6.229 3.030 -1.518 6.161" Properties=species:S:1:pos:R:3 pbc="T T T"
Sb -0.195 -0.019 -0.235
Sb -3.493 -0.401 -1.432
W -3.530 -0.350 -4.267
Be -2.289 -1.991 -3.060
```



9.
Computed, not measured: a relaxed Pb2Au crystal at the PBE level of DFT.

Calculated values
Symmetry   P6_3/mmc, No. 194
Formation enthalpy at 0 K   0.38 eV per atom
Magnetization   0.000 μB per atom

The structure in extended XYZ format:
```
12
Lattice="-6.379 -0.722 0.922 2.538 -0.837 -5.910 1.466 -10.283 2.086" Properties=species:S:1:pos:R:3 pbc="T T T"
Pb 0.000 0.000 0.000
Pb 0.733 -5.142 1.043
Pb -3.254 -3.724 -2.620
Pb 0.878 -8.119 -0.282
Pb -1.365 -2.957 -0.168
Pb -4.502 -3.313 0.286
Pb 2.126 -8.530 -3.188
Pb -1.010 -8.885 -2.735
Au 1.001 -10.867 -1.591
Au -2.705 -5.688 -0.356
Au -3.376 -0.975 -1.312
Au 0.329 -6.155 -2.546
```



10.
Computed, not measured: a relaxed BeTl2Te crystal at the PBE level of DFT.

Calculated values
Symmetry   F-43m, No. 216
Offset from the most stable computed form   503.0 meV/atom
Magnetization   0.000 μB per atom
Formation energy (no corrections)   0.52 eV per atom

The structure in extended XYZ format:
```
4
Lattice="-2.182 4.623 1.697 -3.427 2.686 -3.172 -5.234 0.207 1.256" Properties=species:S:1:pos:R:3 pbc="T T T"
Be -5.421 3.758 -0.110
Tl 0.000 0.000 0.000
Tl -2.711 1.879 -0.055
Te -8.132 5.637 -0.164
```



11.
Computed, not measured: a relaxed Ho2InAu3 crystal at the PBE level of DFT.

Calculated values
Symmetry   P-3m1, No. 164
Formation enthalpy at 0 K   -0.77 eV per atom
Magnetization   0.000 μB per atom

The structure in extended XYZ format:
```
12
Lattice="-3.921 0.534 -3.028 0.383 -4.040 2.892 -6.121 5.828 8.953" Properties=species:S:1:pos:R:3 pbc="T T T"
Ho -3.060 2.914 4.477
Ho -2.175 -1.446 2.561
Ho -7.484 3.768 6.255
Ho 0.000 0.000 0.000
In -5.134 1.372 6.890
In -4.525 0.950 1.927
Au -3.660 -0.032 4.734
Au -2.869 -0.627 -0.495
Au -4.630 4.408 6.772
Au -1.491 1.419 2.181
Au -6.790 2.948 9.312
Au -5.999 2.353 4.083
```



12.
Computed, not measured: a relaxed ZrPbOF2 crystal at the PBE level of DFT.

Calculated values
Symmetry   P4/mmm, No. 123
Magnetization   0.444 μB per atom
Formation energy (no corrections)   -0.88 eV per atom

The structure in extended XYZ format:
```
5
Lattice="4.625 0.000 0.000 0.000 4.625 0.000 0.000 0.000 4.574" Properties=species:S:1:pos:R:3 pbc="T T T"
Pb 0.000 0.000 0.000
O 0.000 0.000 2.287
Zr 2.312 2.312 2.287
F 0.000 2.312 0.000
F 2.312 0.000 0.000
```



| no. | total DFT energy (no corrections) (Ha/atom) |
| --- | --- |
| 1 | -0.2165 |
| 2 | -0.1665 |
| 3 | -0.2157 |
| 4 | -0.2056 |
| 5 | -0.1224 |
| 6 | -0.1301 |
| 7 | -0.1442 |
| 8 | -0.2143 |
| 9 | -0.1169 |
| 10 | -0.0875 |
| 11 | -0.1613 |
| 12 | -0.1864 |